Compound: Ta2Co2Ru
Source: Alexandria via LeMat-Bulk
Functional: PBE
Structure: optimized geometry

Cell: 6.7163 6.7163 3.1442 Å, 90.00 90.00 90.00°
Last column: nearest neighbours and their distance in Å.
Fractional coordinates of all 10 atoms:
Ru  0.0000  0.0000  0.0000  4 Co 2.67, 8 Ta 2.93
Ru  0.5000  0.5000  0.0000  4 Co 2.67, 8 Ta 2.93
Co  0.3779  0.8779  0.0000  1 Co 2.32, 6 Ta 2.46-2.59
Co  0.8779  0.6221  0.0000  1 Co 2.32, 6 Ta 2.46-2.59
Co  0.6221  0.1221  0.0000  1 Co 2.32, 6 Ta 2.46-2.59
Co  0.1221  0.3779  0.0000  1 Co 2.32, 6 Ta 2.46-2.59
Ta  0.1792  0.6792  0.5000  6 Co 2.46-2.59
Ta  0.6792  0.8208  0.5000  6 Co 2.46-2.59
Ta  0.8208  0.3208  0.5000  6 Co 2.46-2.59
Ta  0.3208  0.1792  0.5000  6 Co 2.46-2.59

Summary:
Total moment, μB per formula unit: 0.00
Energy relative to the elements, eV per atom: -0.201